# 1
Density functional theory data (GGA-PBE) for a relaxed LaReHg crystal.

The structure in POSCAR format:
```
LaReHg
1.0
4.769 0.000 0.000
2.384 4.130 0.000
2.384 1.377 3.894
Hg La Re
1 1 1
direct
0.000 0.000 0.000
0.500 0.500 0.500
0.750 0.750 0.750
```

Calculated values
As for the symmetry: F-43m.

# 2
Density functional theory data (GGA-PBE) for a relaxed La3Sm3Ho2 crystal.

The structure in POSCAR format:
```
La3Sm3Ho2
1.0
5.147 0.000 0.000
0.000 5.178 0.000
-2.574 -2.589 10.301
La Sm Ho
3 3 2
direct
0.627 0.627 0.254
0.373 0.373 0.746
0.500 0.000 0.000
0.129 0.129 0.257
0.000 0.500 0.000
0.871 0.871 0.743
0.749 0.249 0.498
0.251 0.751 0.502
```

Calculated values
As for the symmetry: Immm.

| no. | total DFT energy (no corrections) (eV per atom) | mass density (g cm⁻³) |
| --- | --- | --- |
| 1 | -5.165 | 11.382 |
| 2 | -4.736 | 7.244 |